In3Re: relaxed, PBE.

## Properties
SG = Fm-3m
E above lowest polymorph = 12.03 kcal/mol of atoms
Total DFT energy (no corrections) = -4.36 eV/atom
DOS(E_F) = 2.0 states/eV/cell
Theoretical density = 10.6 g/cm³

Unit cell a=4.902 b=4.902 c=4.902 alpha=60.00 beta=60.00 gamma=60.00
Fractional positions:
In 0.000 0.000 0.000
In 0.250 0.250 0.250
In 0.500 0.500 0.500
Re 0.750 0.750 0.750